A relaxed structure of Li2LaAg. Source: Alexandria, functional GGA-PBEsol.

Geometry as POSCAR:
```
Li2LaAg
1.0
4.588 0.000 0.000
2.294 3.973 0.000
2.294 1.324 5.008
Li La Ag
2 1 1
Cartesian
6.882 3.973 0.605 Li
2.294 1.324 1.352 Li
6.882 3.973 3.684 La
4.588 2.649 1.802 Ag
```

Calculated values
* V: 22.82 Å³ per atom
* electronic total energy: -3.18 eV per atom
* crystal system: trigonal
* theoretical density: 4.74 g/cm3
* energy of formation: -0.1 eV/f.u.
* E above lowest polymorph: 44 meV/atom

=====

A relaxed structure of Li2LaAg. Source: Alexandria, functional GGA-PBEsol.

Geometry as POSCAR:
```
Li2LaAg
1.0
3.302 0.000 0.000
-1.651 5.176 0.008
0.000 -1.325 5.182
Ag Li La
1 2 1
Cartesian
0.000 -0.662 2.591 Ag
1.651 1.389 3.568 Li
0.000 2.462 1.622 Li
1.651 0.000 0.000 La
```

Calculated values
* V: 22.15 Å³ per atom
* electronic total energy: -3.19 eV per atom
* crystal system: monoclinic
* theoretical density: 4.89 g/cm3
* energy of formation: -0.2 eV/f.u.
* E above lowest polymorph: 32 meV/atom

=====

A relaxed structure of Li2LaAg. Source: Alexandria, functional GGA-PBEsol.

Geometry as POSCAR:
```
Li2LaAg
1.0
3.294 0.000 0.000
0.000 5.323 0.000
-1.647 -2.661 5.281
Ag Li La
1 2 1
Cartesian
1.647 0.000 0.000 Ag
0.000 0.000 2.203 Li
1.647 2.661 3.078 Li
0.000 2.661 0.000 La
```

Calculated values
* V: 23.15 Å³ per atom
* electronic total energy: -3.18 eV per atom
* crystal system: orthorhombic
* theoretical density: 4.67 g/cm3
* energy of formation: -0.1 eV/f.u.
* E above lowest polymorph: 39 meV/atom

=====

A relaxed structure of Li3LaAg. Source: Alexandria, functional GGA-PBEsol.

Geometry as POSCAR:
```
Li3LaAg
1.0
4.870 0.000 0.000
0.000 4.870 0.000
0.000 0.000 4.870
La Ag Li
1 1 3
Cartesian
2.435 2.435 2.435 La
0.000 0.000 0.000 Ag
0.000 0.000 2.435 Li
2.435 0.000 0.000 Li
0.000 2.435 0.000 Li
```

Calculated values
* V: 23.10 Å³ per atom
* electronic total energy: -2.74 eV per atom
* crystal system: cubic
* theoretical density: 3.85 g/cm3
* energy of formation: 0.8 eV/f.u.

=====

A relaxed structure of Li2LaAg. Source: Alexandria, functional GGA-PBEsol.

Geometry as POSCAR:
```
Li2LaAg
1.0
3.416 0.000 0.000
0.000 3.416 0.000
0.000 0.000 7.537
La Li Ag
1 2 1
Cartesian
1.708 1.708 5.427 La
0.000 0.000 0.498 Li
1.708 1.708 2.056 Li
0.000 0.000 3.324 Ag
```

Calculated values
* V: 21.99 Å³ per atom
* electronic total energy: -3.22 eV per atom
* crystal system: tetragonal
* theoretical density: 4.92 g/cm3
* energy of formation: -0.3 eV/f.u.
* E above lowest polymorph: 0 meV/atom

=====

A relaxed structure of LiLaAg. Source: Alexandria, functional GGA-PBEsol.

Geometry as POSCAR:
```
LiLaAg
1.0
-2.077 2.738 -0.974
0.591 -0.774 -3.437
-3.483 -4.190 2.200
La Ag Li
1 1 1
Cartesian
-2.097 -0.046 -2.207 La
-4.728 -2.043 -2.210 Ag
-3.113 -2.363 -0.004 Li
```

Calculated values
* V: 22.56 Å³ per atom
* electronic total energy: -3.64 eV per atom
* crystal system: tetragonal
* theoretical density: 6.22 g/cm3
* energy of formation: -0.3 eV/f.u.
* E above lowest polymorph: 7 meV/atom